[1]
Computed, not measured: Ce3GeTe2 after structural relaxation at the PBE-GGA level of DFT.

Total magnetic moment (Bohr magnetons per cell): 5.8
V (Å³ per cell): 366.50
Space group: No. 12
DOS at the Fermi energy (states/eV/f.u.): 18.89
Total energy (eV per cell): -71.7

a b c (Å): 7.6452 7.6469 7.6760
angles (deg): 80.42 70.56 60.01
Last column: nearest neighbours and their distance in Å.
Positions (direct):
Ce 0.4257 0.6527 0.7656  2 Ge 3.01-3.02, 4 Te 3.15-3.24
Ce 0.2714 0.0000 0.2293  2 Ge 3.01, 4 Te 3.13-3.20
Ce 0.5743 0.3473 0.2344  2 Ge 3.01-3.02, 4 Te 3.15-3.24
Ce 0.9216 0.6527 0.2344  2 Ge 3.01-3.02, 4 Te 3.15-3.24
Ce 0.0784 0.3473 0.7656  2 Ge 3.01-3.02, 4 Te 3.15-3.24
Ce 0.7286 0.0000 0.7707  2 Ge 3.01, 4 Te 3.13-3.20
Ge 0.6677 0.6646 0.0000  6 Ce 3.01-3.02
Ge 0.3323 0.3354 0.0000  6 Ce 3.01-3.02
Te 0.0000 0.0000 0.0000  6 Ce 3.14-3.15
Te 0.5000 0.0000 0.5000  6 Ce 3.13-3.24
Te 0.1604 0.6792 0.5000  6 Ce 3.16-3.24
Te 0.8396 0.3208 0.5000  6 Ce 3.16-3.24

---

[2]
Computed, not measured: Pm4InOs after structural relaxation at the PBE-GGA level of DFT.

Total magnetic moment (Bohr magnetons per cell): 0.0
V (Å³ per cell): 683.66
Space group: No. 216
ΔE_f (eV per atom): -0.2819
DOS at the Fermi energy (states/eV/f.u.): 4.98
Total energy (eV per cell): -138.6

a b c (Å): 9.8882 9.8882 9.8882
angles (deg): 60.00 60.00 60.00
Last column: nearest neighbours and their distance in Å.
Positions (direct):
Pm 0.4034 0.4034 0.4034  3 Os 2.94
Pm 0.7897 0.4034 0.4034  3 Os 2.94
Pm 0.4034 0.7897 0.4034  3 Os 2.94
Pm 0.4034 0.4034 0.7897  3 Os 2.94
Pm 0.5568 0.5568 0.9432  2 Os 2.83
Pm 0.9432 0.9432 0.5568  2 Os 2.83
Pm 0.5568 0.9432 0.5568  2 Os 2.83
Pm 0.9432 0.5568 0.9432  2 Os 2.83
Pm 0.9432 0.5568 0.5568  2 Os 2.83
Pm 0.5568 0.9432 0.9432  2 Os 2.83
Pm 0.1922 0.1922 0.8078  2 In 3.36, 6 Pm 3.52-3.68, 2 Os 3.52
Pm 0.8078 0.8078 0.1922  2 In 3.36, 6 Pm 3.52-3.68, 2 Os 3.52
Pm 0.1922 0.8078 0.1922  2 In 3.36, 6 Pm 3.52-3.68, 2 Os 3.52
Pm 0.8078 0.1922 0.8078  2 In 3.36, 6 Pm 3.52-3.68, 2 Os 3.52
Pm 0.8078 0.1922 0.1922  2 In 3.36, 6 Pm 3.52-3.68, 2 Os 3.52
Pm 0.1922 0.8078 0.8078  2 In 3.36, 6 Pm 3.52-3.68, 2 Os 3.52
In 0.1688 0.1688 0.1688  3 In 3.21, 9 Pm 3.36-3.58
In 0.4935 0.1688 0.1688  3 In 3.21, 9 Pm 3.36-3.58
In 0.1688 0.4935 0.1688  3 In 3.21, 9 Pm 3.36-3.58
In 0.1688 0.1688 0.4935  3 In 3.21, 9 Pm 3.36-3.58
Os 0.6123 0.6123 0.6123  6 Pm 2.83-2.94
Os 0.1632 0.6123 0.6123  6 Pm 2.83-2.94
Os 0.6123 0.1632 0.6123  6 Pm 2.83-2.94
Os 0.6123 0.6123 0.1632  6 Pm 2.83-2.94